Compound: NaRuS2Cl
Source: the Alexandria database
Functional: PBE-GGA
Structure: relaxed

Cell lengths 4.9562, 4.9562, 4.8069 Å; angles 90.00, 90.00, 90.00 degrees
Space group P4/mmm (No. 123)
Unique sites:
Na (0.0000, 0.0000, 0.0000) x1
Ru (0.5000, 0.5000, 0.5000) x1
S (0.0000, 0.5000, 0.0000) x2
Cl (0.0000, 0.0000, 0.5000) x1

Values from the calculation:
The calculation puts the offset from the most stable computed form at 1423 meV/atom. The formation energy (no corrections) comes out at 1.086 eV/atom.

=====

Compound: Rb3NaAg2F9
Source: the Alexandria database
Functional: PBE-GGA
Structure: relaxed

Cell lengths 6.2183, 6.2183, 7.6267 Å; angles 90.00, 90.00, 120.00 degrees
Space group P-3m1 (No. 164)
Unique sites:
Rb (0.0000, 0.0000, 0.0000) x1
Rb (0.3333, 0.6667, 0.6489) x2
Na (0.0000, 0.0000, 0.5000) x1
Ag (0.3333, 0.6667, 0.1612) x2
F (0.0000, 0.5000, 0.0000) x3
F (0.1698, 0.3397, 0.3213) x6

Values from the calculation:
The formation energy (no corrections) comes out at -2.052 eV/atom.

=====

Compound: LaBHIr2
Source: the Alexandria database
Functional: PBE-GGA
Structure: relaxed

Cell lengths 5.0255, 5.0255, 5.2540 Å; angles 90.00, 90.00, 90.00 degrees
Space group P4/mmm (No. 123)
Unique sites:
La (0.0000, 0.0000, 0.0000) x1
B (0.0000, 0.0000, 0.5000) x1
H (0.5000, 0.5000, 0.5000) x1
Ir (0.0000, 0.5000, 0.0000) x2

Values from the calculation:
The value obtained for the raw total energy is -19.59 eV/cell.

=====

> What is the formula in the third record?

LaBHIr2